First-principles (PBE with a Hubbard U) data for an optimized crystal structure of CoPdSO, as listed in the Open Quantum Materials Database.

Output
Calculated volume: 14.6 A^3/atom
Energy: -4.92 eV/atom

abc: 5.575 7.698 5.440
angles: 90.00 90.00 90.00
Space group Pca2_1 (No. 29)
Asymmetric unit:
Co  0.058  0.191  0.000 x4
Pd  0.010  0.644  0.027 x4
S  0.079  0.082  0.617 x4
O  0.097  0.614  0.618 x4